Record 1
An optimized crystal structure of MnBe2Nb2. Source: Alexandria via LeMat-Bulk, functional PBE. Values from VASP.

Cell and atoms, written as Quantum ESPRESSO input:
```
&SYSTEM
  ibrav = 0, nat = 10, ntyp = 3
/
ATOMIC_SPECIES
Be 9.01 Be.upf
Nb 92.91 Nb.upf
Mn 54.94 Mn.upf
CELL_PARAMETERS angstrom
6.2007 0.0000 0.0000
0.0000 6.2007 0.0000
0.0000 0.0000 3.2990
ATOMIC_POSITIONS angstrom
Be 2.3569 5.4573 0.0000
Be 5.4573 3.8438 0.0000
Be 3.8438 0.7434 0.0000
Be 0.7434 2.3569 0.0000
Nb 1.1092 4.2095 1.6495
Nb 4.2095 5.0915 1.6495
Nb 5.0915 1.9912 1.6495
Nb 1.9912 1.1092 1.6495
Mn 0.0000 0.0000 0.0000
Mn 3.1003 3.1003 0.0000
```

The crystal system is tetragonal. The formation energy is -165 meV per atom. As for the magnetic moment: 0.00 μB/cell.

---

Record 2
An optimized crystal structure of SbBrCl2. Source: Alexandria via LeMat-Bulk, functional PBE. Values from VASP.

Cell and atoms, written as Quantum ESPRESSO input:
```
&SYSTEM
  ibrav = 0, nat = 4, ntyp = 3
/
ATOMIC_SPECIES
Sb 121.76 Sb.upf
Br 79.90 Br.upf
Cl 35.45 Cl.upf
CELL_PARAMETERS angstrom
-4.0422 0.6733 1.9283
0.0415 -4.2429 1.5684
2.0296 1.4105 3.7620
ATOMIC_POSITIONS angstrom
Sb -1.0063 1.0419 2.8451
Br 1.0355 -1.4162 2.6652
Cl 0.0000 0.0000 0.0000
Cl -2.0003 -1.7848 1.7483
```

As for the polymorph energy (0 for the lowest one): 815.9 meV per atom. The value obtained for the formation energy without anion corrections is 0.043 eV/atom. The crystal system is tetragonal. As for the magnetic moment: 0.00 μB/cell.

---

Computed values of mass density (unit: g/cm3) for the preceding records, in sequence: 6.78 4.91.